Entry 1:
HgTeOF2 after structural relaxation. Source: Alexandria via LeMat-Bulk, functional GGA-PBE.

The calculated density is 7.241 Mg/m³. Its density of states at the Fermi level is 1.8 states/eV/cell. As for the formation energy from raw total energies: -1.004 eV per atom. The calculation puts the total moment at 0.0 μB/f.u. The raw total energy comes out at -0.2523 Ry/atom.

Cell lengths 4.6279, 4.6279, 4.0921 Å; angles 90.00, 90.00, 90.00 degrees
With the nearest neighbours (Å) after each atom.
Space group P4/mmm (No. 123)
One atom of each set of equivalent atoms:
1 Hg 0.0000 0.0000 0.0000 [1 per cell]  8 F 3.09, 4 O 3.27
2 Te 0.5000 0.5000 0.5000 [1 per cell]  2 O 2.05
3 O 0.5000 0.5000 0.0000 [1 per cell]  2 Te 2.05
4 F 0.0000 0.5000 0.5000 [2 per cell]  2 Te 2.31

=====

Entry 2:
HgTeOF2 after structural relaxation. Source: Alexandria via LeMat-Bulk, functional GGA-PBE.

The calculated density is 7.037 Mg/m³. Its density of states at the Fermi level is 3.4 states/eV/cell. As for the formation energy from raw total energies: -0.298 eV per atom. The calculation puts the total moment at 2.1 μB/f.u. The raw total energy comes out at -0.2004 Ry/atom.

Cell lengths 4.4969, 4.4969, 4.4599 Å; angles 90.00, 90.00, 90.00 degrees
With the nearest neighbours (Å) after each atom.
Space group P4/mmm (No. 123)
One atom of each set of equivalent atoms:
1 Hg 0.0000 0.0000 0.0000 [1 per cell]  2 O 2.23, 4 F 2.25
2 Te 0.5000 0.5000 0.5000 [1 per cell]  8 F 3.17, 4 O 3.18
3 O 0.0000 0.0000 0.5000 [1 per cell]  2 Hg 2.23
4 F 0.0000 0.5000 0.0000 [2 per cell]  2 Hg 2.25

=====

Entry 3:
HgTe2O2F10 after structural relaxation. Source: Alexandria via LeMat-Bulk, functional GGA-PBE.

The calculated density is 4.288 Mg/m³. Its density of states at the Fermi level is 0.0 states/eV/cell. As for the formation energy from raw total energies: -1.731 eV per atom. The calculation puts the total moment at 0.0 μB/f.u. The raw total energy comes out at -0.2998 Ry/atom.

Cell lengths 19.2854, 9.0731, 6.0593 Å; angles 90.00, 98.01, 90.00 degrees
With the nearest neighbours (Å) after each atom.
Space group C2/c (No. 15)
One atom of each set of equivalent atoms:
1 Hg 0.0000 0.1230 0.2500 [4 per cell]  2 O 2.06
2 Te 0.1275 0.2526 0.6603 [8 per cell]  5 F 1.87-1.89, 1 O 1.90
3 O 0.0630 0.1029 0.5517 [8 per cell]  1 Te 1.90, 1 Hg 2.06
4 F 0.0674 0.4031 0.5318 [8 per cell]  1 Te 1.89
5 F 0.0862 0.2651 0.9254 [8 per cell]  1 Te 1.89
6 F 0.1714 0.2498 0.4025 [8 per cell]  1 Te 1.88
7 F 0.1893 0.1101 0.7969 [8 per cell]  1 Te 1.87
8 F 0.1902 0.3986 0.7777 [8 per cell]  1 Te 1.87

=====

Entry 4:
HgTeO3F after structural relaxation. Source: Alexandria via LeMat-Bulk, functional GGA-PBE.

The calculated density is 5.965 Mg/m³. Its density of states at the Fermi level is 6.6 states/eV/cell. As for the formation energy from raw total energies: -0.880 eV per atom. The calculation puts the total moment at 0.0 μB/f.u. The raw total energy comes out at -0.3120 Ry/atom.

Cell lengths 8.2786, 8.5781, 6.1965 Å; angles 90.00, 90.00, 90.00 degrees
With the nearest neighbours (Å) after each atom.
Space group Pca2_1 (No. 29)
One atom of each set of equivalent atoms:
1 Hg 0.1321 0.1002 0.0000 [4 per cell]  2 O 2.04-2.07
2 Te 0.1161 0.7105 0.8520 [4 per cell]  4 O 1.91-2.04, 1 F 2.04
3 O 0.0889 0.2871 0.1940 [4 per cell]  1 Te 1.96, 1 Hg 2.04
4 O 0.1916 0.9178 0.7973 [4 per cell]  1 Te 1.91, 1 Hg 2.07
5 O 0.2420 0.6321 0.5973 [4 per cell]  2 Te 2.01-2.04
6 F 0.0211 0.2006 0.5956 [4 per cell]  1 Te 2.04

=====

Entry 5:
HgTeO2F after structural relaxation. Source: Alexandria via LeMat-Bulk, functional GGA-PBE.

The calculated density is 7.642 Mg/m³. Its density of states at the Fermi level is 4.7 states/eV/cell. As for the formation energy from raw total energies: 0.126 eV per atom. The calculation puts the total moment at 0.0 μB/f.u. The raw total energy comes out at -0.2147 Ry/atom.

Cell lengths 4.3133, 4.3133, 4.4288 Å; angles 90.00, 90.00, 90.00 degrees
With the nearest neighbours (Å) after each atom.
Space group P4/mmm (No. 123)
One atom of each set of equivalent atoms:
1 Hg 0.0000 0.0000 0.0000 [1 per cell]  4 O 2.16, 2 F 2.21
2 Te 0.5000 0.5000 0.5000 [1 per cell]  4 F 3.05, 8 O 3.09
3 O 0.0000 0.5000 0.0000 [2 per cell]  2 Hg 2.16
4 F 0.0000 0.0000 0.5000 [1 per cell]  2 Hg 2.21

=====

Entry 6:
HgTeO2F after structural relaxation. Source: Alexandria via LeMat-Bulk, functional GGA-PBE.

The calculated density is 7.865 Mg/m³. Its density of states at the Fermi level is 3.7 states/eV/cell. As for the formation energy from raw total energies: -0.690 eV per atom. The calculation puts the total moment at 0.0 μB/f.u. The raw total energy comes out at -0.2746 Ry/atom.

Cell lengths 4.1940, 4.1940, 4.5511 Å; angles 90.00, 90.00, 90.00 degrees
With the nearest neighbours (Å) after each atom.
Space group P4/mmm (No. 123)
One atom of each set of equivalent atoms:
1 Hg 0.0000 0.0000 0.0000 [1 per cell]  4 F 2.97, 8 O 3.09
2 Te 0.5000 0.5000 0.5000 [1 per cell]  4 O 2.10, 2 F 2.28
3 O 0.0000 0.5000 0.5000 [2 per cell]  2 Te 2.10
4 F 0.5000 0.5000 0.0000 [1 per cell]  2 Te 2.28

=====

Entry 7:
TiHgOF2 after structural relaxation. Source: Alexandria via LeMat-Bulk, functional GGA-PBE.

The calculated density is 5.755 Mg/m³. Its density of states at the Fermi level is 0.6 states/eV/cell. As for the formation energy from raw total energies: -0.507 eV per atom. The calculation puts the total moment at 0.0 μB/f.u. The raw total energy comes out at -0.2857 Ry/atom.

Cell lengths 4.5317, 4.5317, 4.2497 Å; angles 90.00, 90.00, 90.00 degrees
With the nearest neighbours (Å) after each atom.
Space group P4/mmm (No. 123)
One atom of each set of equivalent atoms:
1 Ti 0.0000 0.0000 0.0000 [1 per cell]  8 F 3.11, 4 O 3.20
2 Hg 0.5000 0.5000 0.5000 [1 per cell]  2 O 2.12, 4 F 2.27
3 O 0.5000 0.5000 0.0000 [1 per cell]  2 Hg 2.12
4 F 0.0000 0.5000 0.5000 [2 per cell]  2 Hg 2.27

=====

Entry 8:
TiHgOF2 after structural relaxation. Source: Alexandria via LeMat-Bulk, functional GGA-PBE.

The calculated density is 7.296 Mg/m³. Its density of states at the Fermi level is 4.4 states/eV/cell. As for the formation energy from raw total energies: -2.151 eV per atom. The calculation puts the total moment at 0.3 μB/f.u. The raw total energy comes out at -0.4065 Ry/atom.

Cell lengths 4.2451, 4.2451, 3.8200 Å; angles 90.00, 90.00, 90.00 degrees
With the nearest neighbours (Å) after each atom.
Space group P4/mmm (No. 123)
One atom of each set of equivalent atoms:
1 Ti 0.0000 0.0000 0.0000 [1 per cell]  2 O 1.91, 4 F 2.12
2 Hg 0.5000 0.5000 0.5000 [1 per cell]  8 F 2.86, 4 O 3.00
3 O 0.0000 0.0000 0.5000 [1 per cell]  2 Ti 1.91
4 F 0.0000 0.5000 0.0000 [2 per cell]  2 Ti 2.12